Entry 1:
The following is a PBE calculation of an optimized crystal structure of HoPu3Th2As6, from Alexandria via LeMat-Bulk.

Computed properties:
space-group type = C2/m
volume = 310.4 Å³ per cell
DFT formation energy = -14.898 eV/f.u.

abc: 9.3456 9.3456 8.3341
angles: 102.62 102.62 25.95
Fractional coordinates of all 12 atoms:
Ho1 0.0000 0.0000 0.0000
Pu1 0.0000 0.0000 0.5000
Pu2 0.3325 0.3325 0.1660
Pu3 0.6675 0.6675 0.8340
Th1 0.3354 0.3354 0.6701
Th2 0.6646 0.6646 0.3299
As1 0.1657 0.1657 0.0761
As2 0.1662 0.1662 0.5871
As3 0.4976 0.4976 0.2478
As4 0.5024 0.5024 0.7522
As5 0.8338 0.8338 0.4129
As6 0.8343 0.8343 0.9239


Entry 2:
The following is a PBE calculation of an optimized crystal structure of Ho3Pu2UAs6, from Alexandria via LeMat-Bulk.

Computed properties:
space-group type = C2/m
volume = 294.1 Å³ per cell
DFT formation energy = -14.779 eV/f.u.

abc: 9.1831 9.1831 8.2243
angles: 102.98 102.98 25.83
Fractional coordinates of all 12 atoms:
Ho1 0.0000 0.0000 0.0000
Ho2 0.3318 0.3318 0.6685
Ho3 0.6682 0.6682 0.3315
Pu1 0.3340 0.3340 0.1676
Pu2 0.6660 0.6660 0.8324
U1 0.0000 0.0000 0.5000
As1 0.1648 0.1648 0.5801
As2 0.1669 0.1669 0.0822
As3 0.4986 0.4986 0.7469
As4 0.5014 0.5014 0.2531
As5 0.8331 0.8331 0.9178
As6 0.8352 0.8352 0.4199


Entry 3:
The following is a PBE calculation of an optimized crystal structure of HoPu2UAs4, from Alexandria via LeMat-Bulk.

Computed properties:
space-group type = P2/m
volume = 197.3 Å³ per cell
DFT formation energy = -8.707 eV/f.u.

abc: 7.1010 4.1108 7.1604
angles: 90.00 109.30 90.00
Fractional coordinates of all 8 atoms:
Ho1 0.0000 0.0000 0.0000
Pu1 0.5000 0.0000 0.5000
Pu2 0.5000 0.5000 0.0000
U1 0.0000 0.5000 0.5000
As1 0.2458 0.0000 0.7474
As2 0.2470 0.5000 0.2516
As3 0.7530 0.5000 0.7484
As4 0.7542 0.0000 0.2526


Entry 4:
The following is a PBE calculation of an optimized crystal structure of HoPuU2As4, from Alexandria via LeMat-Bulk.

Computed properties:
space-group type = P2/m
volume = 194.5 Å³ per cell
DFT formation energy = -7.957 eV/f.u.

abc: 7.0322 4.0654 7.1999
angles: 90.00 109.06 90.00
Fractional coordinates of all 8 atoms:
Ho1 0.0000 0.0000 0.0000
Pu1 0.5000 0.5000 0.0000
U1 0.0000 0.5000 0.5000
U2 0.5000 0.0000 0.5000
As1 0.2478 0.0000 0.7474
As2 0.2491 0.5000 0.2526
As3 0.7509 0.5000 0.7474
As4 0.7522 0.0000 0.2526